A plane-wave DFT calculation with GGA-PBE was carried out for a relaxed GdDyCoHg crystal.

abc: 5.0574 5.0574 5.0574
angles: 60.00 60.00 60.00
Last column: nearest neighbours and their distance in Å.
Fractional positions:
Hg 0.7500 0.7500 0.7500  4 Dy 3.10, 4 Gd 3.10
Co 0.2500 0.2500 0.2500  4 Gd 3.10, 4 Dy 3.10
Dy 0.0000 0.0000 0.0000  4 Co 3.10, 4 Hg 3.10
Gd 0.5000 0.5000 0.5000  4 Hg 3.10, 4 Co 3.10

Output
As for the space group: F-43m (216). Its total energy is -6.74 eV per atom.

***

A plane-wave DFT calculation with GGA-PBE was carried out for a relaxed PmCuRh crystal.

abc: 4.9751 5.3914 5.3914
angles: 63.06 62.52 62.52
Last column: nearest neighbours and their distance in Å.
Fractional positions:
Cu 0.0000 0.0000 0.0000  2 Cu 2.49, 4 Rh 2.70
Cu 0.5000 0.0000 0.0000  2 Cu 2.49, 4 Rh 2.70
Pm 0.8786 0.3714 0.3714  6 Rh 3.01-3.25, 6 Cu 3.13-3.24, 2 Pm 3.18
Pm 0.1214 0.6286 0.6286  6 Rh 3.01-3.25, 6 Cu 3.13-3.24, 2 Pm 3.18
Rh 0.5000 0.5000 0.0000  4 Cu 2.70, 2 Rh 2.82, 4 Pm 3.01
Rh 0.5000 0.0000 0.5000  4 Cu 2.70, 2 Rh 2.82, 4 Pm 3.01

Output
The value obtained for the energy above the lowest structure with this stoichiometry is 0.000 eV/atom. As for the space group: Imma (74).

***

A plane-wave DFT calculation with GGA-PBE was carried out for a relaxed Cr2ReN crystal.

abc: 2.5692 2.5692 6.5161
angles: 90.00 90.00 90.00
Last column: nearest neighbours and their distance in Å.
Fractional positions:
Re 0.5000 0.5000 0.5000  4 Re 2.57, 8 Cr 2.76
Cr 0.0000 0.0000 0.1804  4 N 2.16, 1 Cr 2.35
Cr 0.0000 0.0000 0.8196  4 N 2.16, 1 Cr 2.35
N 0.5000 0.5000 0.0000  8 Cr 2.16

Output
The value obtained for the uncorrected formation energy is 0.1223 eV/atom. As for the space group: P4/mmm (123).

***

A plane-wave DFT calculation with GGA-PBE was carried out for a relaxed GaNiRh2 crystal.

abc: 4.2608 4.2608 4.2625
angles: 60.01 60.01 60.00
Last column: nearest neighbours and their distance in Å.
Fractional positions:
Ni 0.4998 0.4998 0.5007  4 Rh 2.61, 4 Ga 2.61
Rh 0.2500 0.2500 0.2499  4 Ni 2.61, 4 Rh 2.61
Rh 0.0002 0.0002 0.9995  4 Ga 2.61, 4 Rh 2.61
Ga 0.7500 0.7500 0.7499  4 Ni 2.61, 4 Rh 2.61

Output
As for the space group: F-43m (216). Its total energy is -6.02 eV per atom.

***

A plane-wave DFT calculation with GGA-PBE was carried out for a relaxed NaZrRe2B crystal.

abc: 4.2214 4.4742 4.2214
angles: 90.00 90.00 90.00
Last column: nearest neighbours and their distance in Å.
Fractional positions:
Zr 0.5000 0.5000 0.5000  4 Na 2.98, 8 Re 3.08
Na 0.0000 0.5000 0.0000  2 B 2.24
B 0.0000 0.0000 0.0000  4 Re 2.11, 2 Na 2.24
Re 0.5000 0.0000 0.0000  2 B 2.11
Re 0.0000 0.0000 0.5000  2 B 2.11

Output
As for the space group: P4/mmm (123). Its total energy is -7.83 eV per atom.

***

A plane-wave DFT calculation with GGA-PBE was carried out for a relaxed ThPHRu crystal.

abc: 4.0499 4.0499 7.5291
angles: 90.00 90.00 90.00
Last column: nearest neighbours and their distance in Å.
Fractional positions:
Th 0.0000 0.5000 0.3193  4 H 2.44
Th 0.5000 0.0000 0.6807  4 H 2.44
P 0.5000 0.0000 0.1698  4 Ru 2.39
P 0.0000 0.5000 0.8302  4 Ru 2.39
Ru 0.5000 0.5000 0.0000  4 P 2.39
Ru 0.0000 0.0000 0.0000  4 P 2.39
H 0.5000 0.5000 0.5000  4 Th 2.44
H 0.0000 0.0000 0.5000  4 Th 2.44

Output
As for the space group: P4/nmm (129). Its total energy is -7.30 eV per atom.

***

A plane-wave DFT calculation with GGA-PBE was carried out for a relaxed Y2TaMo crystal.

abc: 5.7880 5.7880 3.0083
angles: 87.54 87.54 118.01
Last column: nearest neighbours and their distance in Å.
Fractional positions:
Mo 0.5000 0.0000 0.5000  2 Ta 2.98, 2 Mo 3.01, 8 Y 3.20-3.32
Y 0.5000 0.5000 0.0000  4 Y 2.98-3.01, 4 Mo 3.20-3.32, 4 Ta 3.20-3.32
Y 0.0000 0.0000 0.0000  4 Y 2.98-3.01, 4 Ta 3.20-3.32, 4 Mo 3.20-3.32
Ta 0.0000 0.5000 0.5000  2 Mo 2.98, 2 Ta 3.01, 8 Y 3.20-3.32

Output
The value obtained for the energy above the lowest structure with this stoichiometry is 0.410 eV/atom. As for the space group: C2/m (12).

***

A plane-wave DFT calculation with GGA-PBE was carried out for a relaxed CuTePRu2 crystal.

abc: 4.3635 5.2071 4.3635
angles: 90.00 90.00 90.00
Last column: nearest neighbours and their distance in Å.
Fractional positions:
Ru 0.0000 0.0000 0.5000  2 P 2.18
Ru 0.5000 0.0000 0.0000  2 P 2.18
Cu 0.5000 0.5000 0.5000  4 Te 3.09, 8 Ru 3.40
Te 0.0000 0.5000 0.0000  2 P 2.60
P 0.0000 0.0000 0.0000  4 Ru 2.18

Output
The value obtained for the uncorrected formation energy is 0.8731 eV/atom. As for the space group: P4/mmm (123).

***

A plane-wave DFT calculation with GGA-PBE was carried out for a relaxed SrLi10Pd3 crystal.

abc: 9.3209 9.3209 9.3209
angles: 60.00 60.00 60.00
Last column: nearest neighbours and their distance in Å.
Fractional positions:
Li 0.6704 0.0000 0.3296  2 Pd 2.54
Li 0.3296 0.6704 0.0000  2 Pd 2.54
Li 0.0000 0.0000 0.3296  2 Pd 2.54
Li 0.8126 0.3958 0.3958  3 Pd 2.59, 3 Li 2.75
Li 0.6042 0.6042 0.6042  3 Pd 2.59, 3 Li 2.75
Li 0.1874 0.6042 0.6042  3 Pd 2.59, 3 Li 2.75
Li 0.6042 0.1874 0.6042  3 Pd 2.59, 3 Li 2.75
Li 0.0000 0.6704 0.3296  2 Pd 2.54
Li 0.3958 0.3958 0.3958  3 Pd 2.59, 3 Li 2.75
Li 0.0000 0.3296 0.6704  2 Pd 2.54
Li 0.0000 0.6704 0.0000  2 Pd 2.54
Li 0.6042 0.6042 0.1874  3 Pd 2.59, 3 Li 2.75
Li 0.6704 0.0000 0.0000  2 Pd 2.54
Li 0.3296 0.0000 0.6704  2 Pd 2.54
Li 0.3958 0.8126 0.3958  3 Pd 2.59, 3 Li 2.75
Li 0.0000 0.0000 0.6704  2 Pd 2.54
Li 0.6704 0.3296 0.0000  2 Pd 2.54
Li 0.0000 0.3296 0.0000  2 Pd 2.54
Li 0.3958 0.3958 0.8126  3 Pd 2.59, 3 Li 2.75
Li 0.3296 0.0000 0.0000  2 Pd 2.54
Pd 0.2653 0.7347 0.7347  8 Li 2.54-2.59
Pd 0.2653 0.2653 0.7347  8 Li 2.54-2.59
Pd 0.7347 0.2653 0.7347  8 Li 2.54-2.59
Pd 0.7347 0.2653 0.2653  8 Li 2.54-2.59
Pd 0.2653 0.7347 0.2653  8 Li 2.54-2.59
Pd 0.7347 0.7347 0.2653  8 Li 2.54-2.59
Sr 0.2500 0.2500 0.2500  16 Li 3.33-3.66
Sr 0.7500 0.7500 0.7500  16 Li 3.33-3.66

Output
As for the space group: Fm-3m (225). Its total energy is -2.75 eV per atom.

***

A plane-wave DFT calculation with GGA-PBE was carried out for a relaxed Ti7NiPd2 crystal.

abc: 6.3872 6.3872 6.3872
angles: 60.00 60.00 60.00
Last column: nearest neighbours and their distance in Å.
Fractional positions:
Ti 0.2479 0.7521 0.7521  1 Ni 2.24, 1 Ti 2.28
Ti 0.2479 0.2479 0.7521  1 Ni 2.24, 1 Ti 2.28
Ti 0.2479 0.7521 0.2479  1 Ni 2.24, 1 Ti 2.28
Ti 0.7521 0.2479 0.2479  1 Ni 2.24, 1 Ti 2.28
Ti 0.5000 0.5000 0.5000  6 Ti 2.28
Ti 0.7521 0.2479 0.7521  1 Ni 2.24, 1 Ti 2.28
Ti 0.7521 0.7521 0.2479  1 Ni 2.24, 1 Ti 2.28
Pd 0.7500 0.7500 0.7500  12 Ti 3.19
Pd 0.2500 0.2500 0.2500  12 Ti 3.19
Ni 0.0000 0.0000 0.0000  6 Ti 2.24

Output
As for the space group: Fm-3m (225). Its total energy is -6.57 eV per atom.

***

A plane-wave DFT calculation with GGA-PBE was carried out for a relaxed CeZnNi2 crystal.

abc: 3.9913 6.8397 9.5393
angles: 90.00 90.00 90.00
Last column: nearest neighbours and their distance in Å.
Fractional positions:
Zn 0.2500 0.0462 0.4020  5 Ni 2.56-2.62, 2 Zn 2.81
Zn 0.7500 0.4538 0.9020  5 Ni 2.56-2.62, 2 Zn 2.81
Zn 0.2500 0.5462 0.0980  5 Ni 2.56-2.62, 2 Zn 2.81
Zn 0.7500 0.9538 0.5980  5 Ni 2.56-2.62, 2 Zn 2.81
Ni 0.2500 0.9226 0.1470  3 Ni 2.46-2.71, 2 Zn 2.57-2.62
Ni 0.7500 0.2762 0.4619  3 Ni 2.46-2.71, 3 Zn 2.56-2.60
Ni 0.7500 0.7762 0.0381  3 Ni 2.46-2.71, 3 Zn 2.56-2.60
Ni 0.2500 0.2238 0.9619  3 Ni 2.46-2.71, 3 Zn 2.56-2.60
Ni 0.7500 0.0774 0.8530  3 Ni 2.46-2.71, 2 Zn 2.57-2.62
Ni 0.2500 0.4226 0.3530  3 Ni 2.46-2.71, 2 Zn 2.57-2.62
Ni 0.2500 0.7238 0.5381  3 Ni 2.46-2.71, 3 Zn 2.56-2.60
Ni 0.7500 0.5774 0.6470  3 Ni 2.46-2.71, 2 Zn 2.57-2.62
Ce 0.2500 0.7970 0.8293  7 Ni 2.78-3.04, 1 Zn 3.08
Ce 0.7500 0.2030 0.1707  7 Ni 2.78-3.04, 1 Zn 3.08
Ce 0.2500 0.2970 0.6707  7 Ni 2.78-3.04, 1 Zn 3.08
Ce 0.7500 0.7030 0.3293  7 Ni 2.78-3.04, 1 Zn 3.08

Output
As for the space group: Pnma (62). Its total energy is -5.06 eV per atom.

***

A plane-wave DFT calculation with GGA-PBE was carried out for a relaxed CsK2RbHg crystal.

abc: 7.0124 7.0124 7.3952
angles: 90.00 90.00 90.00
Last column: nearest neighbours and their distance in Å.
Fractional positions:
Cs 0.0000 0.0000 0.5000  2 Hg 3.70
K 0.5000 0.0000 0.0000  2 Hg 3.51
K 0.0000 0.5000 0.0000  2 Hg 3.51
Rb 0.5000 0.5000 0.5000  4 Cs 4.96, 8 K 5.10
Hg 0.0000 0.0000 0.0000  4 K 3.51, 2 Cs 3.70

Output
The value obtained for the energy above the lowest structure with this stoichiometry is 0.006 eV/atom. As for the space group: P4/mmm (123).

***

A plane-wave DFT calculation with GGA-PBE was carried out for a relaxed CdHg2F6 crystal.

abc: 5.2789 5.2789 11.0316
angles: 90.00 90.00 90.00
Last column: nearest neighbours and their distance in Å.
Fractional positions:
Cd 0.5000 0.5000 0.0000  6 F 2.26-2.28
Cd 0.0000 0.0000 0.5000  6 F 2.26-2.28
F 0.1903 0.8097 0.3381  1 Cd 2.28, 2 Hg 2.31-2.37
F 0.1979 0.8021 0.0000  1 Cd 2.26, 2 Hg 2.36
F 0.8021 0.1979 0.0000  1 Cd 2.26, 2 Hg 2.36
F 0.3021 0.3021 0.5000  1 Cd 2.26, 2 Hg 2.36
F 0.6979 0.6979 0.5000  1 Cd 2.26, 2 Hg 2.36
F 0.8097 0.1903 0.6619  1 Cd 2.28, 2 Hg 2.31-2.37
F 0.6903 0.6903 0.1619  1 Cd 2.28, 2 Hg 2.31-2.37
F 0.3097 0.3097 0.8381  1 Cd 2.28, 2 Hg 2.31-2.37
F 0.1903 0.8097 0.6619  1 Cd 2.28, 2 Hg 2.31-2.37
F 0.6903 0.6903 0.8381  1 Cd 2.28, 2 Hg 2.31-2.37
F 0.3097 0.3097 0.1619  1 Cd 2.28, 2 Hg 2.31-2.37
F 0.8097 0.1903 0.3381  1 Cd 2.28, 2 Hg 2.31-2.37
Hg 0.0000 0.0000 0.8335  6 F 2.31-2.37
Hg 0.5000 0.5000 0.3335  6 F 2.31-2.37
Hg 0.0000 0.0000 0.1665  6 F 2.31-2.37
Hg 0.5000 0.5000 0.6665  6 F 2.31-2.37

Output
The value obtained for the uncorrected formation energy is -1.6750 eV/atom. The value obtained for the energy above the lowest structure with this stoichiometry is 0.000 eV/atom. As for the space group: P4_2/mnm (136).

***

A plane-wave DFT calculation with GGA-PBE was carried out for a relaxed HgRhW4 crystal.

abc: 5.2866 5.2866 5.2866
angles: 60.00 60.00 60.00
Last column: nearest neighbours and their distance in Å.
Fractional positions:
Hg 0.7500 0.7500 0.7500  12 W 3.10, 4 Rh 3.24
W 0.3760 0.8719 0.3760  6 W 2.62-2.67
W 0.3760 0.3760 0.8719  6 W 2.62-2.67
W 0.3760 0.3760 0.3760  6 W 2.62-2.67
W 0.8719 0.3760 0.3760  6 W 2.62-2.67
Rh 0.0000 0.0000 0.0000  12 W 3.10, 4 Hg 3.24

Output
As for the space group: F-43m (216). Its total energy is -9.28 eV per atom.

***

A plane-wave DFT calculation with GGA-PBE was carried out for a relaxed HBr crystal.

abc: 7.3136 5.2334 8.9110
angles: 90.00 90.00 90.00
Last column: nearest neighbours and their distance in Å.
Fractional positions:
Br 0.2323 0.9586 0.3242  2 H 1.72-1.73
Br 0.0000 0.4476 0.6201  2 H 1.71
Br 0.5000 0.5524 0.1201  2 H 1.71
Br 0.7323 0.0414 0.8242  2 H 1.72-1.73
Br 0.7677 0.9586 0.3242  2 H 1.72-1.73
Br 0.2677 0.0414 0.8242  2 H 1.72-1.73
H 0.6546 0.7387 0.2138  2 Br 1.71-1.73
H 0.0000 0.9234 0.3058  2 Br 1.72
H 0.1546 0.2613 0.7138  2 Br 1.71-1.73
H 0.3454 0.7387 0.2138  2 Br 1.71-1.73
H 0.5000 0.0766 0.8058  2 Br 1.72
H 0.8454 0.2613 0.7138  2 Br 1.71-1.73

Output
As for the space group: Pmn2_1 (31). Its total energy is -2.70 eV per atom.

***

A plane-wave DFT calculation with GGA-PBE was carried out for a relaxed Ho3NpRu3 crystal.

abc: 3.9532 6.2913 13.3596
angles: 88.06 81.49 71.69
Last column: nearest neighbours and their distance in Å.
Fractional positions:
Np 0.2279 0.9389 0.6052  3 Ru 2.29-2.54
Np 0.7721 0.0611 0.3948  3 Ru 2.29-2.54
Ho 0.7354 0.7309 0.7982  2 Ru 2.74
Ho 0.5084 0.6199 0.3634  6 Ru 3.00-3.11, 2 Np 3.32
Ho 0.4916 0.3801 0.6366  6 Ru 3.00-3.11, 2 Np 3.32
Ho 0.6083 0.7126 0.0707  4 Ru 2.83-3.15
Ho 0.3916 0.2874 0.9293  4 Ru 2.83-3.15
Ho 0.2646 0.2691 0.2018  2 Ru 2.74
Ru 0.8746 0.7096 0.5413  2 Np 2.54, 1 Ru 2.72
Ru 0.8909 0.1498 0.0684  2 Ru 2.53-2.81, 4 Ho 2.74-2.83
Ru 0.1091 0.8502 0.9316  2 Ru 2.53-2.81, 4 Ho 2.74-2.83
Ru 0.1254 0.2904 0.4587  2 Np 2.54, 1 Ru 2.72
Ru 0.9398 0.8793 0.2411  1 Np 2.29
Ru 0.0602 0.1207 0.7589  1 Np 2.29

Output
As for the space group: C2/m (12). Its total energy is -8.01 eV per atom.

***

A plane-wave DFT calculation with GGA-PBE was carried out for a relaxed BaCd4Ag2Sn crystal.

abc: 4.8099 4.8099 11.1448
angles: 77.54 77.54 60.00
Last column: nearest neighbours and their distance in Å.
Fractional positions:
Sn 0.5000 0.5000 0.5000  8 Cd 3.13-3.17
Cd 0.5966 0.5966 0.2102  3 Ag 2.81, 1 Sn 3.13
Cd 0.4034 0.4034 0.7898  3 Ag 2.81, 1 Sn 3.13
Cd 0.8803 0.8803 0.3592  3 Ag 3.01, 3 Sn 3.17, 3 Cd 3.21
Cd 0.1197 0.1197 0.6408  3 Ag 3.01, 3 Sn 3.17, 3 Cd 3.21
Ag 0.7508 0.7508 0.7476  6 Cd 2.81-3.01
Ag 0.2492 0.2492 0.2524  6 Cd 2.81-3.01
Ba 0.0000 0.0000 0.0000  8 Cd 3.59-3.88, 6 Ag 3.89

Output
As for the space group: R-3m (166). Its total energy is -2.02 eV per atom.

***

A plane-wave DFT calculation with GGA-PBE was carried out for a relaxed KLiScSb2 crystal.

abc: 5.2430 4.9425 5.2430
angles: 90.00 90.00 90.00
Last column: nearest neighbours and their distance in Å.
Fractional positions:
Li 0.0000 0.0000 0.0000  2 Sc 2.47, 4 Sb 2.62
K 0.5000 0.5000 0.5000  8 Sb 3.60, 4 Sc 3.71
Sb 0.0000 0.0000 0.5000  2 Li 2.62
Sb 0.5000 0.0000 0.0000  2 Li 2.62
Sc 0.0000 0.5000 0.0000  2 Li 2.47

Output
The value obtained for the uncorrected formation energy is 0.0248 eV/atom. As for the space group: P4/mmm (123).

***

A plane-wave DFT calculation with GGA-PBE was carried out for a relaxed HfSc2TiP4 crystal.

abc: 3.6682 6.3559 6.4187
angles: 109.35 90.00 90.00
Last column: nearest neighbours and their distance in Å.
Fractional positions:
P 0.5000 0.7457 0.7552  1 Ti 2.56, 2 Hf 2.60, 3 Sc 2.61-2.66
P 0.0000 0.2593 0.7599  2 Ti 2.55, 1 Hf 2.60, 3 Sc 2.61-2.65
P 0.5000 0.2543 0.2448  1 Ti 2.56, 2 Hf 2.60, 3 Sc 2.61-2.66
P 0.0000 0.7407 0.2401  2 Ti 2.55, 1 Hf 2.60, 3 Sc 2.61-2.65
Ti 0.5000 0.5000 0.0000  6 P 2.55-2.56
Hf 0.0000 0.0000 0.0000  6 P 2.60
Sc 0.5000 0.0000 0.5000  6 P 2.65-2.66
Sc 0.0000 0.5000 0.5000  6 P 2.61

Output
As for the space group: P2/m (10). Its total energy is -7.86 eV per atom.

***

A plane-wave DFT calculation with GGA-PBE was carried out for a relaxed V2AsI crystal.

abc: 5.9398 5.9398 7.5052
angles: 66.69 66.69 90.00
Last column: nearest neighbours and their distance in Å.
Fractional positions:
V 0.1743 0.6250 0.2500  2 As 2.46
V 0.5757 0.1250 0.2500  2 As 2.46
V 0.3750 0.4243 0.7500  2 As 2.46
V 0.8750 0.8257 0.7500  2 As 2.46
I 0.0000 0.0000 0.0000  4 V 2.79
I 0.7500 0.2500 0.5000  4 V 2.79
As 0.2500 0.7500 0.5000  4 V 2.46
As 0.5000 0.5000 0.0000  4 V 2.46

Output
The value obtained for the uncorrected formation energy is 0.2860 eV/atom. As for the space group: I-42d (122).